No. 1
A relaxed LaTlVB2 crystal, computed with GGA-PBE.

Summary:
The value obtained for the volume is 117.6 Å³ per cell. The calculation puts the raw total energy at -3.756 eV/atom. The value obtained for the magnetic moment is 0.4 μB per formula unit.

abc: 4.426 6.003 4.426
angles: 90.00 90.00 90.00
Each line ends with the local moment (μB).
Fractional positions:
La 0.000 0.500 0.000  -0.02
B 0.500 0.000 0.000  -0.01
B 0.000 0.000 0.500  -0.01
V 0.500 0.500 0.500  0.46
Tl 0.000 0.000 0.000  -0.01



No. 2
A relaxed ZrNiTe2 crystal, computed with GGA-PBE.

Summary:
The value obtained for the volume is 84.6 Å³ per cell. The calculation puts the raw total energy at -5.294 eV/atom. The value obtained for the magnetic moment is 0.0 μB per formula unit. The uncorrected formation energy comes out at -0.14 eV per atom.

abc: 5.871 5.871 5.871
angles: 139.48 139.48 58.65
Fractional positions:
Zr 0.500 0.500 0.000
Te 0.000 0.000 0.000
Te 0.250 0.750 0.500
Ni 0.750 0.250 0.500



No. 3
A relaxed HgH6IN2 crystal, computed with GGA-PBE.

Summary:
The value obtained for the volume is 313.9 Å³ per cell. The calculation puts the raw total energy at -4.146 eV/atom. The value obtained for the magnetic moment is 0.0 μB per formula unit.

abc: 7.416 7.416 6.104
angles: 103.91 103.91 79.97
Fractional positions:
H 0.847 0.636 0.747
H 0.364 0.153 0.753
H 0.165 0.346 0.985
H 0.654 0.835 0.515
H 0.335 0.362 0.683
H 0.346 0.165 0.485
H 0.362 0.335 0.183
H 0.835 0.654 0.015
H 0.636 0.847 0.247
H 0.153 0.364 0.253
H 0.665 0.638 0.317
H 0.638 0.665 0.817
N 0.773 0.601 0.849
N 0.399 0.227 0.651
N 0.601 0.773 0.349
N 0.227 0.399 0.151
I 0.794 0.206 0.250
I 0.206 0.794 0.750
Hg 0.773 0.227 0.750
Hg 0.227 0.773 0.250



No. 4
A relaxed ZrZn3Rh crystal, computed with GGA-PBE.

Summary:
The value obtained for the volume is 128.7 Å³ per cell. The calculation puts the raw total energy at -2.513 eV/atom. The value obtained for the magnetic moment is 0.1 μB per formula unit.

abc: 5.049 5.049 5.049
angles: 90.00 90.00 90.00
Each line ends with the local moment (μB).
Fractional positions:
Zn 0.500 0.000 0.000  0.06
Zn 0.000 0.000 0.500  0.02
Zn 0.000 0.500 0.000  0.04
Rh 0.500 0.500 0.500  -0.61
Zr 0.000 0.000 0.000  0.38